# 1
Entry from Alexandria via LeMat-Bulk: NaLi2PrAs2 after structural relaxation (PBE).

The calculation puts the formation energy at -530 kJ/mol of formula units.

Lattice parameters (Å, degrees): 4.4205 4.4205 7.2395 90.00 90.00 120.00
Last column: nearest neighbours and their distance in Å.
Space group P-3m1 (No. 164)
Inequivalent atoms, fractional coordinates:
Na 0.0000 0.0000 0.0000 (multiplicity 1)  6 Li 2.81, 6 As 3.14
Li 0.3333 0.6667 0.1634 (multiplicity 2)  3 As 2.63, 3 Na 2.81
Pr 0.0000 0.0000 0.5000 (multiplicity 1)  6 As 3.12
As 0.3333 0.6667 0.7475 (multiplicity 2)  3 Li 2.63

=====

# 2
Entry from Alexandria via LeMat-Bulk: In2NiAu after structural relaxation (PBE).

The calculation puts the energy above the lowest structure with this stoichiometry at 74 meV per atom. The calculation puts the formation energy at -21 kJ/mol of formula units.

Lattice parameters (Å, degrees): 3.2059 3.1210 7.3925 90.00 95.55 90.00
Last column: nearest neighbours and their distance in Å.
Space group P2/m (No. 10)
Inequivalent atoms, fractional coordinates:
In 0.0265 0.0000 0.2183 (multiplicity 2)  4 Ni 2.71-2.80, 2 Au 2.91
Ni 0.5000 0.5000 0.0000 (multiplicity 1)  8 In 2.71-2.80
Au 0.5000 0.5000 0.5000 (multiplicity 1)  8 In 2.91-3.21, 4 Au 3.12-3.21

=====

# 3
Entry from Alexandria via LeMat-Bulk: KNaLi2S2O8 after structural relaxation (PBE).

The value obtained for the raw formation energy is -1.889 eV per atom.

Lattice parameters (Å, degrees): 5.0036 7.8612 19.3075 90.00 90.00 90.00
Last column: nearest neighbours and their distance in Å.
Space group P2_12_12_1 (No. 19)
Inequivalent atoms, fractional coordinates:
K 0.0017 0.0560 0.0721 (multiplicity 4)  7 O 2.71-2.97
Na 0.0152 0.2471 0.2771 (multiplicity 4)  5 O 2.42-2.55
Li 0.0064 0.7441 0.9119 (multiplicity 4)  4 O 1.95-2.01
Li 0.0363 0.0991 0.8606 (multiplicity 4)  4 O 1.95-2.01
S 0.0088 0.5476 0.0592 (multiplicity 4)  4 O 1.49-1.50
S 0.0276 0.9685 0.7070 (multiplicity 4)  4 O 1.49-1.50
O 0.0199 0.0652 0.5173 (multiplicity 4)  1 S 1.49
O 0.1092 0.1988 0.4052 (multiplicity 4)  1 S 1.49
O 0.1247 0.8114 0.6712 (multiplicity 4)  1 S 1.50
O 0.1284 0.1200 0.6680 (multiplicity 4)  1 S 1.50
O 0.1287 0.8899 0.4177 (multiplicity 4)  1 S 1.49
O 0.1456 0.9730 0.7779 (multiplicity 4)  1 S 1.49
O 0.1985 0.4617 0.5764 (multiplicity 4)  1 S 1.50
O 0.2307 0.5290 0.2901 (multiplicity 4)  1 S 1.49

=====

# 4
Entry from Alexandria via LeMat-Bulk: PrTlZn after structural relaxation (PBE).

The calculation puts the formation energy at -96 kJ/mol of formula units.

Lattice parameters (Å, degrees): 4.7806 8.4550 7.6427 90.00 90.00 90.00
Last column: nearest neighbours and their distance in Å.
Space group Imm2 (No. 44)
Inequivalent atoms, fractional coordinates:
Pr 0.0000 0.0000 0.0000 (multiplicity 2)  4 Zn 3.16, 6 Tl 3.31-3.43
Pr 0.0000 0.0000 0.4982 (multiplicity 2)  6 Tl 3.21-3.52, 6 Zn 3.31-3.53
Tl 0.0000 0.3202 0.7239 (multiplicity 4)  2 Zn 2.81, 1 Tl 3.04
Zn 0.0000 0.3439 0.2908 (multiplicity 4)  1 Zn 2.64, 2 Tl 2.81

=====

Ordered V results: 20.42, 18.41, 13.56, 25.74; unit Å³/atom.